VASP calculation (PBE+U) on crystalline KBaCoF6 at its relaxed geometry.

Summary:
- energy (eV per atom) = -4.888
- mass density (g cm⁻³) = 3.99
- M_tot (μB per formula unit) = 0.1

Cell: 6.3926 6.3926 8.2183 Å, 90.00 90.00 120.00°
Fractional coordinates of all 18 atoms:
K1 0.0000 0.0000 0.0000
K2 0.0000 0.0000 0.5000
Ba1 0.3333 0.6667 0.2500
Ba2 0.6667 0.3333 0.7500
Co1 0.6667 0.3333 0.2500
Co2 0.3333 0.6667 0.7500
F1 0.6717 0.5798 0.1236
F2 0.9082 0.3283 0.1236
F3 0.3283 0.9082 0.6236
F4 0.0918 0.6717 0.8764
F5 0.4202 0.3283 0.3764
F6 0.9082 0.5798 0.3764
F7 0.5798 0.9082 0.8764
F8 0.6717 0.0918 0.3764
F9 0.0918 0.4202 0.6236
F10 0.4202 0.0918 0.1236
F11 0.5798 0.6717 0.6236
F12 0.3283 0.4202 0.8764